1.
Below is La5AlGe2 after structural relaxation, with properties calculated at the PBE-GGA level.

Results
Calculated formation energy   -0.57 eV/atom
Density of states at the Fermi level   13.85 states/eV per cell
Space group   I4/mcm (140)

abc: 9.2002 9.2002 9.2002
angles: 127.41 127.41 77.59
Atoms (fractional coordinates):
La1 0.0000 0.0000 0.0000
La2 0.0318 0.5318 0.8539
La3 0.1779 0.0318 0.5000
La4 0.3221 0.8221 0.8539
La5 0.4682 0.3221 0.5000
La6 0.5000 0.5000 0.0000
La7 0.5318 0.6779 0.5000
La8 0.6779 0.1779 0.1461
La9 0.8221 0.9682 0.5000
La10 0.9682 0.4682 0.1461
Al1 0.2500 0.2500 0.0000
Al2 0.7500 0.7500 0.0000
Ge1 0.1205 0.3795 0.5000
Ge2 0.3795 0.8795 0.2590
Ge3 0.6205 0.1205 0.7410
Ge4 0.8795 0.6205 0.5000

2.
Below is YVN after structural relaxation, with properties calculated at the PBE-GGA level.

Results
Density of states at the Fermi level   2.08 states/eV per cell
Space group   I4mm (107)
Energy relative to the lowest polymorph listed for this composition   3.170 eV per formula unit

abc: 4.7263 4.7263 4.7263
angles: 128.69 128.69 75.52
Atoms (fractional coordinates):
Y1 0.0000 0.0000 0.0000
V1 0.4726 0.4726 0.0000
N1 0.6982 0.6982 0.0000

3.
Below is Tm3PaTc4 after structural relaxation, with properties calculated at the PBE-GGA level.

Results
Calculated formation energy   -0.15 eV/atom
Density of states at the Fermi level   9.43 states/eV per cell
Space group   C2/m (12)

abc: 7.4723 7.4723 4.8444
angles: 105.18 105.18 36.96
Atoms (fractional coordinates):
Tm1 0.0000 0.0000 0.0000
Tm2 0.2466 0.2466 0.2422
Tm3 0.7534 0.7534 0.7578
Pa1 0.5000 0.5000 0.5000
Tc1 0.1158 0.1158 0.6165
Tc2 0.3853 0.3853 0.8442
Tc3 0.6147 0.6147 0.1558
Tc4 0.8842 0.8842 0.3835

4.
Below is AcBiPdO4 after structural relaxation, with properties calculated at the PBE-GGA level.

Results
E   -6.2289 eV per atom
Density of states at the Fermi level   8.03 states/eV per cell
Space group   Cmcm (63)

abc: 5.4488 5.4488 8.4989
angles: 90.00 90.00 113.52
Atoms (fractional coordinates):
Ac1 0.0000 0.0000 0.0000
Ac2 0.0000 0.0000 0.5000
Bi1 0.3306 0.6694 0.7500
Bi2 0.6694 0.3306 0.2500
Pd1 0.3004 0.6996 0.2500
Pd2 0.6996 0.3004 0.7500
O1 0.2458 0.2475 0.7500
O2 0.2475 0.2458 0.2500
O3 0.2818 0.7182 0.0122
O4 0.2818 0.7182 0.4878
O5 0.7182 0.2818 0.5122
O6 0.7182 0.2818 0.9878
O7 0.7525 0.7542 0.7500
O8 0.7542 0.7525 0.2500